## BaNpS2O (GGA-PBE)

Data for a geometry-optimized BaNpS2O structure.

crystal system = tetragonal

Structure (CIF):
```
data_BaNpS2O
_chemical_formula_sum 'Ba1 Np1 S2 O1'
_cell_length_a 5.385
_cell_length_b 5.385
_cell_length_c 4.213
_cell_angle_alpha 90.00
_cell_angle_beta 90.00
_cell_angle_gamma 90.00
_symmetry_space_group_name_H-M 'P 4/m m m'
_symmetry_Int_Tables_number 123
_symmetry_space_group_name_Hall '-P 4 2'
loop_
_atom_site_label
_atom_site_type_symbol
_atom_site_fract_x
_atom_site_fract_y
_atom_site_fract_z
Ba1 Ba 0.000 0.000 0.000
Np1 Np 0.500 0.500 0.500
S1 S 0.000 0.500 0.500
O1 O 0.500 0.500 0.000
```

## PmDyBi2 (GGA-PBE)

Data for a geometry-optimized PmDyBi2 structure.

E_form = -0.898 eV/atom
crystal system = monoclinic
relative energy among the computed polymorphs = 0.0000 eV/atom

Structure (CIF):
```
data_PmDyBi2
_chemical_formula_sum 'Pm2 Dy2 Bi4'
_cell_length_a 7.840
_cell_length_b 4.533
_cell_length_c 7.840
_cell_angle_alpha 90.00
_cell_angle_beta 109.57
_cell_angle_gamma 90.00
_symmetry_space_group_name_H-M 'C 1 2/m 1'
_symmetry_Int_Tables_number 12
loop_
_symmetry_equiv_pos_as_xyz
'x,y,z'
'-x,-y,-z'
'-x,y,-z'
'x,-y,z'
'x+1/2,y+1/2,z'
'-x+1/2,-y+1/2,-z'
'-x+1/2,y+1/2,-z'
'x+1/2,-y+1/2,z'
loop_
_atom_site_label
_atom_site_type_symbol
_atom_site_fract_x
_atom_site_fract_y
_atom_site_fract_z
Pm1 Pm 0.000 0.000 0.000
Dy1 Dy 0.000 0.500 0.500
Bi1 Bi 0.248 0.000 0.743
```

## Li2HgAs (GGA-PBE)

Data for a geometry-optimized Li2HgAs structure.

E_form = -0.328 eV/atom
crystal system = triclinic

Structure (CIF):
```
data_Li2HgAs
_chemical_formula_sum 'Li2 Hg1 As1'
_cell_length_a 4.450
_cell_length_b 4.459
_cell_length_c 5.372
_cell_angle_alpha 90.22
_cell_angle_beta 114.30
_cell_angle_gamma 119.80
_symmetry_space_group_name_H-M 'P 1'
_symmetry_Int_Tables_number 1
loop_
_symmetry_equiv_pos_as_xyz
'x,y,z'
loop_
_atom_site_label
_atom_site_type_symbol
_atom_site_fract_x
_atom_site_fract_y
_atom_site_fract_z
Li1 Li 0.000 0.000 0.000
Li2 Li 0.405 0.207 0.609
Hg1 Hg 0.804 0.405 0.208
As1 As 0.630 0.819 0.448
```

## MgBe2Pt (GGA-PBE)

Data for a geometry-optimized MgBe2Pt structure.

E_form = 0.206 eV/atom
crystal system = orthorhombic

Structure (CIF):
```
data_MgBe2Pt
_chemical_formula_sum 'Mg2 Be4 Pt2'
_cell_length_a 2.716
_cell_length_b 4.382
_cell_length_c 10.298
_cell_angle_alpha 90.00
_cell_angle_beta 90.00
_cell_angle_gamma 90.00
_symmetry_space_group_name_H-M 'I m m m'
_symmetry_Int_Tables_number 71
_symmetry_space_group_name_Hall '-I 2 2'
loop_
_atom_site_label
_atom_site_type_symbol
_atom_site_fract_x
_atom_site_fract_y
_atom_site_fract_z
Mg1 Mg 0.000 0.000 0.000
Be1 Be 0.000 0.000 0.281
Pt1 Pt 0.000 0.000 0.500
```

## MnNbOs2 (GGA-PBE)

Data for a geometry-optimized MnNbOs2 structure.

E_form = -0.065 eV/atom
crystal system = tetragonal

Structure (CIF):
```
data_MnNbOs2
_chemical_formula_sum 'Mn1 Nb1 Os2'
_cell_length_a 4.314
_cell_length_b 4.314
_cell_length_c 3.236
_cell_angle_alpha 90.00
_cell_angle_beta 90.00
_cell_angle_gamma 90.00
_symmetry_space_group_name_H-M 'P 4/m m m'
_symmetry_Int_Tables_number 123
_symmetry_space_group_name_Hall '-P 4 2'
loop_
_atom_site_label
_atom_site_type_symbol
_atom_site_fract_x
_atom_site_fract_y
_atom_site_fract_z
Mn1 Mn 0.000 0.000 0.000
Nb1 Nb 0.500 0.500 0.000
Os1 Os 0.000 0.500 0.500
```

## EuPuAlHg (GGA-PBE)

Data for a geometry-optimized EuPuAlHg structure.

E_form = -0.160 eV/atom
crystal system = cubic

Structure (CIF):
```
data_EuPuAlHg
_chemical_formula_sum 'Eu4 Pu4 Al4 Hg4'
_cell_length_a 7.551
_cell_length_b 7.551
_cell_length_c 7.551
_cell_angle_alpha 90.00
_cell_angle_beta 90.00
_cell_angle_gamma 90.00
_symmetry_space_group_name_H-M 'F -4 3 m'
_symmetry_Int_Tables_number 216
_symmetry_space_group_name_Hall 'F -4 2 3'
loop_
_atom_site_label
_atom_site_type_symbol
_atom_site_fract_x
_atom_site_fract_y
_atom_site_fract_z
Eu1 Eu 0.000 0.000 0.000
Pu1 Pu 0.000 0.000 0.500
Al1 Al 0.250 0.250 0.750
Hg1 Hg 0.250 0.250 0.250
```

Number 1: total magnetization 3.000 μB per cell, uncorrected energy -7.751 eV/atom. Number 2: total magnetization 0.000 μB per cell, uncorrected energy -5.177 eV/atom. Number 3: total magnetization 0.000 μB per cell, uncorrected energy -2.523 eV/atom. Number 4: total magnetization 0.000 μB per cell, uncorrected energy -3.566 eV/atom. Number 5: total magnetization 3.650 μB per cell, uncorrected energy -10.490 eV/atom. Number 6: total magnetization 51.172 μB per cell, uncorrected energy -7.323 eV/atom.